# 1
VASP calculation (PBE) on an optimized crystal structure of AcPm8Ga6.

## Properties
The calculation puts the formation energy at -0.339 eV/atom.

```
data_AcPm8Ga6
_chemical_formula_sum 'Ac3 Pm24 Ga18'
_symmetry_space_group_name_H-M 'R -3'
_symmetry_Int_Tables_number 148
_symmetry_space_group_name_Hall '-R 3'
_cell_length_a 9.0017
_cell_length_b 9.0017
_cell_length_c 18.7480
_cell_angle_alpha 90.00
_cell_angle_beta 90.00
_cell_angle_gamma 120.00
loop_
_atom_site_label
_atom_site_type_symbol
_atom_site_fract_x
_atom_site_fract_y
_atom_site_fract_z
Ac1 Ac 0.0000 0.0000 0.0000
Pm1 Pm 0.0000 0.0000 0.3321
Pm2 Pm 0.9997 0.3345 0.2208
Ga1 Ga 0.0003 0.3436 0.0578
```

***

# 2
VASP calculation (PBE) on an optimized crystal structure of CrGa3S.

## Properties
As for the formation energy without anion corrections: 0.4782 eV per atom. The excess energy over the best structure of this formula in the dataset comes out at 0.000 eV per atom.

```
data_CrGa3S
_chemical_formula_sum 'Cr1 Ga3 S1'
_symmetry_space_group_name_H-M 'P m -3 m'
_symmetry_Int_Tables_number 221
_symmetry_space_group_name_Hall '-P 4 2 3'
_cell_length_a 4.863
_cell_length_b 4.863
_cell_length_c 4.863
_cell_angle_alpha 90.00
_cell_angle_beta 90.00
_cell_angle_gamma 90.00
loop_
_atom_site_label
_atom_site_type_symbol
_atom_site_fract_x
_atom_site_fract_y
_atom_site_fract_z
Cr1 Cr 0.000 0.000 0.000
Ga1 Ga 0.000 0.000 0.500
S1 S 0.500 0.500 0.500
```

***

no.,energy (eV per atom)
1,-4.357
2,-4.088